(1)
Here is crystalline YGe2Sb2 at its relaxed geometry from the Alexandria database. Energies are from PBE.

a b c (Å): 4.0231 4.0231 8.4500
angles (deg): 76.23 76.23 90.00
Last column: nearest neighbours and their distance in Å.
Positions (direct):
Y1 0.0000 0.0000 0.0000  8 Sb 3.23
Sb1 0.4032 0.4032 0.1936  1 Sb 3.08, 4 Ge 3.16, 4 Y 3.23
Sb2 0.5968 0.5968 0.8064  1 Sb 3.08, 4 Ge 3.16, 4 Y 3.23
Ge1 0.7500 0.2500 0.5000  4 Ge 2.84, 4 Sb 3.16
Ge2 0.2500 0.7500 0.5000  4 Ge 2.84, 4 Sb 3.16

=====

(2)
Here is crystalline Y2GeSb at its relaxed geometry from the Alexandria database. Energies are from PBE.

a b c (Å): 7.9478 7.9478 6.5986
angles (deg): 52.97 52.97 90.00
Last column: nearest neighbours and their distance in Å.
Positions (direct):
Y1 0.6052 0.1250 0.2500  2 Ge 2.84, 2 Sb 3.05
Y2 0.1448 0.6250 0.2500  2 Ge 2.84, 2 Sb 3.05
Y3 0.3750 0.3948 0.7500  2 Ge 2.84, 2 Sb 3.05
Y4 0.8750 0.8552 0.7500  2 Ge 2.84, 2 Sb 3.05
Sb1 0.0000 0.0000 0.0000  4 Y 3.05
Sb2 0.7500 0.2500 0.5000  4 Y 3.05
Ge1 0.5000 0.5000 0.0000  4 Y 2.84
Ge2 0.2500 0.7500 0.5000  4 Y 2.84

=====

Formation energy (no corrections) values (in eV/atom) by entry order: -0.163, -0.669.
Mass density values (in Mg/m³) by entry order: 6.160, 5.659.
Final energy values (in eV per cell) by entry order: -24.8, -48.7.